Density functional theory data (PBE with a Hubbard U) for a relaxed Rb3Sc2FeO6 crystal.

abc: 5.631 5.631 6.691
angles: 98.05 98.05 120.00
Fractional positions:
Rb (0.000, 0.000, 0.000)
Rb (0.334, 0.666, 0.000)
Rb (0.666, 0.334, 0.000)
Sc (0.167, 0.833, 0.500)
Sc (0.833, 0.167, 0.500)
Fe (0.500, 0.500, 0.500)
O (0.117, 0.444, 0.333)
O (0.228, 0.228, 0.667)
O (0.444, 0.117, 0.333)
O (0.556, 0.883, 0.667)
O (0.772, 0.772, 0.333)
O (0.883, 0.556, 0.667)

Summary:
Spin magnetization   4.942 μB/f.u.
Energy   -0.474 Ry/atom